## AlPtSe2 (PBE)

Data for AlPtSe2 after structural relaxation.

Results
**V**: 20.367 A^3/atom
**Uncorrected energy**: -17.3 eV/cell
**Energy relative to the elements, uncorrected**: -13.88 kJ/mol of atoms
**Density of states at the Fermi level**: 0.307 states/eV/atom

a = 2.9396 Å, b = 2.9396 Å, c = 9.6253 Å
α = 90.00°, β = 90.00°, γ = 101.62°
Element x y z (fractional)
Al (0.0000, 0.0000, 0.5316)
Se (0.5000, 0.5000, 0.3347)
Se (0.0000, 0.0000, 0.9340)
Pt (0.5000, 0.5000, 0.6997)